Entry 1:
Compound: LiHg2Pt
Source: the Alexandria database
Functional: SCAN
Structure: PBEsol geometry

DFT total energy in eV per atom: -52.4841
Energy of formation in meV/atom: -255
SG: P4/mmm, No. 123
Volume in Å³ per atom: 17.0

abc: 4.2444 4.2444 3.7779
angles: 90.00 90.00 90.00
Fractional coordinates of all 4 atoms:
Li 0.0000 0.0000 0.0000
Hg 0.0000 0.5000 0.5000
Hg 0.5000 0.0000 0.5000
Pt 0.5000 0.5000 0.0000

Entry 2:
Compound: RbLiHg2
Source: the Alexandria database
Functional: SCAN
Structure: PBEsol geometry

DFT total energy in eV per atom: -40.0270
Energy of formation in meV/atom: -162
SG: Fm-3m, No. 225
Volume in Å³ per atom: 29.9

abc: 5.5281 5.5281 5.5281
angles: 60.00 60.00 60.00
Fractional coordinates of all 4 atoms:
Rb 0.0000 0.0000 0.0000
Li 0.5000 0.5000 0.5000
Hg 0.2500 0.2500 0.2500
Hg 0.7500 0.7500 0.7500

Entry 3:
Compound: RbLi3Hg
Source: the Alexandria database
Functional: SCAN
Structure: PBEsol geometry

DFT total energy in eV per atom: -19.3456
Energy of formation in meV/atom: -131
SG: Pm-3m, No. 221
Volume in Å³ per atom: 30.6

abc: 5.3485 5.3485 5.3485
angles: 90.00 90.00 90.00
Fractional coordinates of all 5 atoms:
Rb 0.0000 0.0000 0.0000
Li 0.0000 0.5000 0.5000
Li 0.5000 0.0000 0.5000
Li 0.5000 0.5000 0.0000
Hg 0.5000 0.5000 0.5000

Entry 4:
Compound: LiReHg2
Source: the Alexandria database
Functional: SCAN
Structure: PBEsol geometry

DFT total energy in eV per atom: -51.9920
Energy of formation in meV/atom: 463
SG: Pmmm, No. 47
Volume in Å³ per atom: 17.1

abc: 2.7774 4.1383 5.9431
angles: 90.00 90.00 90.00
Fractional coordinates of all 4 atoms:
Li 0.0000 0.0000 0.0000
Re 0.0000 0.0000 0.5000
Hg 0.5000 0.5000 0.2508
Hg 0.5000 0.5000 0.7492

Entry 5:
Compound: LiRe2Hg
Source: the Alexandria database
Functional: SCAN
Structure: PBEsol geometry

DFT total energy in eV per atom: -52.7351
Energy of formation in meV/atom: 453
SG: I-4m2, No. 119
Volume in Å³ per atom: 15.0

abc: 4.3898 4.3898 4.3898
angles: 119.73 119.73 90.47
Fractional coordinates of all 4 atoms:
Li 0.0000 0.0000 0.0000
Re 0.2500 0.7500 0.5000
Re 0.5000 0.5000 0.0000
Hg 0.7500 0.2500 0.5000

Entry 6:
Compound: Li2ReHg
Source: the Alexandria database
Functional: SCAN
Structure: PBEsol geometry

DFT total energy in eV per atom: -35.6871
Energy of formation in meV/atom: 324
SG: Cmmm, No. 65
Volume in Å³ per atom: 15.4

abc: 5.0753 5.0753 2.5945
angles: 90.00 90.00 113.24
Fractional coordinates of all 4 atoms:
Li 0.0000 0.5000 0.0000
Li 0.5000 0.0000 0.0000
Re 0.0000 0.0000 0.5000
Hg 0.5000 0.5000 0.5000